The following is a PBE+U calculation of an optimized crystal structure of RbFeP2O, from Alexandria.

## Properties
Magnetization: 0.7079 μB per atom
Excess energy over the best structure of this formula in the dataset: 0.0 kJ/mol of formula units
Symmetry: P4/mmm

Cell lengths 5.288, 5.288, 3.693 Å; angles 90.00, 90.00, 90.00 degrees
Last column: magnetic moment on the atom in μB.
Positions (direct):
P  0.500  0.000  0.000  -0.04
P  0.000  0.500  0.000  -0.04
Fe  0.000  0.000  0.000  3.61
O  0.000  0.000  0.500  0.04
Rb  0.500  0.500  0.500  0.00